Record 1
MgZr2PdPt: relaxed, PBEsol.

Results
The value obtained for the density of states at the Fermi level is 5.865 states/eV/f.u. The value obtained for the calculated formation energy is 4.570 eV per formula unit. The total energy comes out at -5.650 eV per atom.

Geometry as CIF:
```
data_MgZr2PdPt
_cell_length_a 4.9365
_cell_length_b 4.9365
_cell_length_c 4.2990
_cell_angle_alpha 90.00
_cell_angle_beta 90.00
_cell_angle_gamma 90.00
_space_group_name_H-M_alt 'P 4/m m m'
_space_group_IT_number 123
_space_group_name_Hall '-P 4 2'
loop_
_atom_site_label
_atom_site_type_symbol
_atom_site_fract_x
_atom_site_fract_y
_atom_site_fract_z
Mg1 Mg 0.0000 0.0000 0.0000
Zr1 Zr 0.0000 0.5000 0.0000
Pd1 Pd 0.0000 0.0000 0.5000
Pt1 Pt 0.5000 0.5000 0.5000
```



Record 2
Rb3MgPd: relaxed, PBEsol.

Results
The value obtained for the density of states at the Fermi level is 7.527 states/eV/f.u. The value obtained for the calculated formation energy is 3.931 eV per formula unit. The total energy comes out at -1.364 eV per atom.

Geometry as CIF:
```
data_Rb3MgPd
_cell_length_a 6.6917
_cell_length_b 6.6917
_cell_length_c 6.6917
_cell_angle_alpha 90.00
_cell_angle_beta 90.00
_cell_angle_gamma 90.00
_space_group_name_H-M_alt 'P m -3 m'
_space_group_IT_number 221
_space_group_name_Hall '-P 4 2 3'
loop_
_atom_site_label
_atom_site_type_symbol
_atom_site_fract_x
_atom_site_fract_y
_atom_site_fract_z
Rb1 Rb 0.0000 0.0000 0.5000
Mg1 Mg 0.0000 0.0000 0.0000
Pd1 Pd 0.5000 0.5000 0.5000
```



Record 3
RbMg3Pd: relaxed, PBEsol.

Results
The value obtained for the density of states at the Fermi level is 2.257 states/eV/f.u. The value obtained for the calculated formation energy is -0.731 eV per formula unit. The total energy comes out at -2.573 eV per atom.

Geometry as CIF:
```
data_RbMg3Pd
_cell_length_a 5.1884
_cell_length_b 5.1884
_cell_length_c 5.1884
_cell_angle_alpha 90.00
_cell_angle_beta 90.00
_cell_angle_gamma 90.00
_space_group_name_H-M_alt 'P m -3 m'
_space_group_IT_number 221
_space_group_name_Hall '-P 4 2 3'
loop_
_atom_site_label
_atom_site_type_symbol
_atom_site_fract_x
_atom_site_fract_y
_atom_site_fract_z
Rb1 Rb 0.0000 0.0000 0.0000
Mg1 Mg 0.0000 0.5000 0.5000
Pd1 Pd 0.5000 0.5000 0.5000
```



Record 4
MgRe3Pd: relaxed, PBEsol.

Results
The value obtained for the density of states at the Fermi level is 7.373 states/eV/f.u. The value obtained for the calculated formation energy is 12.298 eV per formula unit. The total energy comes out at -7.075 eV per atom.

Geometry as CIF:
```
data_MgRe3Pd
_cell_length_a 4.6654
_cell_length_b 4.6654
_cell_length_c 4.6654
_cell_angle_alpha 90.00
_cell_angle_beta 90.00
_cell_angle_gamma 90.00
_space_group_name_H-M_alt 'P m -3 m'
_space_group_IT_number 221
_space_group_name_Hall '-P 4 2 3'
loop_
_atom_site_label
_atom_site_type_symbol
_atom_site_fract_x
_atom_site_fract_y
_atom_site_fract_z
Mg1 Mg 0.0000 0.0000 0.0000
Re1 Re 0.0000 0.5000 0.5000
Pd1 Pd 0.5000 0.5000 0.5000
```